--- i ---
## CsCaCoIr2 (GGA-PBE)

Data for CsCaCoIr2 after structural relaxation.

Calculated volume   138.6 Å³/cell

```
5
Lattice="5.0520 0.0000 0.0000 0.0000 5.0520 0.0000 0.0000 0.0000 5.4308" Properties=species:S:1:pos:R:3 pbc="T T T"
Cs 0.0000 0.0000 0.0000
Ca 0.0000 0.0000 2.7154
Co 2.5260 2.5260 2.7154
Ir 0.0000 2.5260 0.0000
Ir 2.5260 0.0000 0.0000
```

--- ii ---
## CsCaCoIr2 (GGA-PBE)

Data for CsCaCoIr2 after structural relaxation.

Calculated volume   117.2 Å³/cell

```
5
Lattice="4.7455 0.0000 0.0000 0.0000 4.7455 0.0000 0.0000 0.0000 5.2062" Properties=species:S:1:pos:R:3 pbc="T T T"
Cs 0.0000 0.0000 0.0000
Ca 2.3728 2.3728 0.0000
Co 0.0000 0.0000 2.6031
Ir 0.0000 2.3728 2.6031
Ir 2.3728 0.0000 2.6031
```

Which is most stable, and by how much? ii, by 1.520 eV/atom.

--- i ---
## CaCoCu2 (GGA-PBE)

Data for CaCoCu2 after structural relaxation.

Calculated volume   128.1 Å³/cell

```
8
Lattice="3.5816 0.0000 0.0000 0.0000 4.4081 0.0000 0.0000 0.0000 8.1122" Properties=species:S:1:pos:R:3 pbc="T T T"
Ca 0.0000 0.0000 0.0000
Ca 1.7908 2.2040 4.0561
Co 0.0000 0.0000 4.0561
Co 1.7908 2.2040 0.0000
Cu 0.0000 2.2040 1.8041
Cu 0.0000 2.2040 6.3081
Cu 1.7908 0.0000 2.2520
Cu 1.7908 0.0000 5.8601
```

--- ii ---
## CaCoCu2 (GGA-PBE)

Data for CaCoCu2 after structural relaxation.

Calculated volume   143.3 Å³/cell

```
8
Lattice="7.1252 0.0000 0.0000 0.0000 4.1115 0.0000 -2.3606 0.0000 4.8905" Properties=species:S:1:pos:R:3 pbc="T T T"
Ca 0.0000 0.0000 0.0000
Ca 3.5626 2.0557 0.0000
Co -1.1803 2.0557 2.4452
Co 2.3823 0.0000 2.4452
Cu 0.0079 0.0000 2.8627
Cu 1.1941 2.0557 2.0278
Cu 3.5705 2.0557 2.8627
Cu 4.7567 0.0000 2.0278
```

--- iii ---
## CaCoCu2 (GGA-PBE)

Data for CaCoCu2 after structural relaxation.

Calculated volume   64.2 Å³/cell

```
4
Lattice="3.1763 0.0000 0.0000 0.0000 3.1763 0.0000 0.0000 0.0000 6.3625" Properties=species:S:1:pos:R:3 pbc="T T T"
Ca 0.0000 0.0000 0.0000
Co 0.0000 0.0000 3.1812
Cu 1.5881 1.5881 1.9813
Cu 1.5881 1.5881 4.3812
```

Which is most stable, and by how much? ii, by 0.152 eV/atom.